# KLaSe3

A relaxed KLaSe3 crystal (PBE, Alexandria).

Results
Relative energy among the computed polymorphs, eV per atom: 0.000
Formation energy from raw total energies, eV/atom: -1.0028
Total magnetization, Bohr magnetons per cell: 0.0

Lattice parameters (Å, degrees): 5.826 5.826 5.826 90.00 90.00 90.00
Positions (direct):
K 0.000 0.000 0.000
La 0.500 0.500 0.500
Se 0.000 0.500 0.500
Se 0.500 0.000 0.500
Se 0.500 0.500 0.000

---

# KLa2Se

A relaxed KLa2Se crystal (PBE, Alexandria).

Results
Formation energy from raw total energies, eV/atom: -0.4393
Total magnetization, Bohr magnetons per cell: 0.0

Lattice parameters (Å, degrees): 4.425 5.280 6.711 90.00 105.64 90.00
Positions (direct):
K 0.000 0.000 0.000
La 0.389 0.500 0.690
La 0.611 0.500 0.310
Se 0.500 0.000 0.500

---

# KLa2Se

A relaxed KLa2Se crystal (PBE, Alexandria).

Results
Formation energy from raw total energies, eV/atom: -0.2640
Total magnetization, Bohr magnetons per cell: 0.0

Lattice parameters (Å, degrees): 6.513 6.513 6.513 136.46 136.46 63.28
Positions (direct):
K 0.000 0.000 0.000
La 0.250 0.750 0.500
La 0.750 0.250 0.500
Se 0.500 0.500 0.000

---

# KLa2Se

A relaxed KLa2Se crystal (PBE, Alexandria).

Results
Formation energy from raw total energies, eV/atom: -0.2831
Total magnetization, Bohr magnetons per cell: 0.0

Lattice parameters (Å, degrees): 6.645 6.645 3.849 106.20 106.20 116.50
Positions (direct):
K 0.000 0.000 0.000
La 0.000 0.500 0.500
La 0.500 0.000 0.500
Se 0.500 0.500 0.000

---

# KLa2Se

A relaxed KLa2Se crystal (PBE, Alexandria).

Results
Formation energy from raw total energies, eV/atom: -0.4215
Total magnetization, Bohr magnetons per cell: 2.0

Lattice parameters (Å, degrees): 7.773 7.773 7.773 101.28 101.28 127.51
Positions (direct):
K 0.000 0.000 0.000
K 0.750 0.250 0.500
La 0.232 0.625 0.107
La 0.375 0.482 0.607
La 0.518 0.125 0.893
La 0.875 0.768 0.393
Se 0.250 0.750 0.500
Se 0.500 0.500 0.000

---

# KLa2Se2

A relaxed KLa2Se2 crystal (PBE, Alexandria).

Results
Relative energy among the computed polymorphs, eV per atom: 0.000
Formation energy from raw total energies, eV/atom: -1.2582
Total magnetization, Bohr magnetons per cell: 0.0

Lattice parameters (Å, degrees): 8.427 8.427 4.080 90.00 90.00 90.00
Positions (direct):
K 0.000 0.000 0.000
K 0.500 0.500 0.000
La 0.154 0.346 0.500
La 0.346 0.846 0.500
La 0.654 0.154 0.500
La 0.846 0.654 0.500
Se 0.144 0.644 0.000
Se 0.356 0.144 0.000
Se 0.644 0.856 0.000
Se 0.856 0.356 0.000

---

Respective density of states at the Fermi level values: 1.932, 1.036, 1.165, 1.027, 0.489, 0.435 states/eV/atom.